Material: CePrIrRh
Method: DFT, PBE
State: optimized geometry

Computed properties:
Energy above the most stable polymorph in this dataset: 0 meV per atom
ΔH_f (0 K): -720.0 meV/atom
Total energy: -29.8 eV/f.u.

Lattice parameters (Å, degrees): 3.907 4.127 5.989 90.00 109.04 90.00
Fractional coordinates of all 4 atoms:
1 Ce 0.866 0.500 0.731
2 Rh 0.586 0.500 0.172
3 Ir 0.407 0.000 0.814
4 Pr 0.141 0.000 0.283